Entry 1:
! Hf4ZnIr (GGA-PBE, optimized geometry); values from VASP
&SYSTEM
  ibrav = 0, nat = 6, ntyp = 3
/
ATOMIC_SPECIES
Hf 178.49 Hf.upf
Zn 65.41 Zn.upf
Ir 192.22 Ir.upf
CELL_PARAMETERS angstrom
4.504 0.000 0.000
0.000 4.504 0.000
0.000 0.000 6.456
ATOMIC_POSITIONS angstrom
Hf 0.000 2.252 1.579
Hf 0.000 2.252 4.876
Hf 2.252 0.000 1.579
Hf 2.252 0.000 4.876
Zn 0.000 0.000 3.228
Ir 2.252 2.252 0.000
! - Formation energy from the elements: -170 meV per atom
! - Theoretical density: 12.32 g/cm³
! - Space-group type: P4/mmm, No. 123
! - Volume: 131.0 Å³ per cell

***

Entry 2:
! HfZnIr3 (GGA-PBE, optimized geometry); values from VASP
&SYSTEM
  ibrav = 0, nat = 5, ntyp = 3
/
ATOMIC_SPECIES
Hf 178.49 Hf.upf
Zn 65.41 Zn.upf
Ir 192.22 Ir.upf
CELL_PARAMETERS angstrom
4.823 0.000 0.000
0.000 4.823 0.000
0.000 0.000 4.823
ATOMIC_POSITIONS angstrom
Hf 0.000 0.000 0.000
Zn 2.412 2.412 2.412
Ir 0.000 0.000 2.412
Ir 0.000 2.412 0.000
Ir 2.412 0.000 0.000
! - Energy above the most stable polymorph in this dataset: 794 meV per atom
! - Formation energy from the elements: 1443 meV per atom
! - Theoretical density: 12.14 g/cm³
! - Space-group type: Pm-3m, No. 221
! - Volume: 112.2 Å³ per cell

***

Entry 3:
! HfZn4Ir (GGA-PBE, optimized geometry); values from VASP
&SYSTEM
  ibrav = 0, nat = 6, ntyp = 3
/
ATOMIC_SPECIES
Hf 178.49 Hf.upf
Zn 65.41 Zn.upf
Ir 192.22 Ir.upf
CELL_PARAMETERS angstrom
0.000 3.539 3.539
3.539 0.000 3.539
3.539 3.539 0.000
ATOMIC_POSITIONS angstrom
Hf 0.000 0.000 0.000
Zn 2.655 2.655 2.655
Zn 4.423 4.423 2.655
Zn 4.423 2.655 4.423
Zn 2.655 4.423 4.423
Ir 5.309 5.309 5.309
! - Formation energy from the elements: -235 meV per atom
! - Theoretical density: 11.84 g/cm³
! - Space-group type: F-43m, No. 216
! - Volume: 88.7 Å³ per cell

***

Entry 4:
! Hf2ZnIr (GGA-PBE, optimized geometry); values from VASP
&SYSTEM
  ibrav = 0, nat = 4, ntyp = 3
/
ATOMIC_SPECIES
Hf 178.49 Hf.upf
Zn 65.41 Zn.upf
Ir 192.22 Ir.upf
CELL_PARAMETERS angstrom
3.319 0.000 0.000
0.000 3.319 0.000
0.000 0.000 6.477
ATOMIC_POSITIONS angstrom
Hf 0.000 0.000 1.586
Hf 0.000 0.000 4.891
Zn 1.660 1.660 3.238
Ir 1.660 1.660 0.000
! - Formation energy from the elements: -570 meV per atom
! - Theoretical density: 14.30 g/cm³
! - Space-group type: P4/mmm, No. 123
! - Volume: 71.4 Å³ per cell

***

Entry 5:
! Hf2ZrIr (GGA-PBE, optimized geometry); values from VASP
&SYSTEM
  ibrav = 0, nat = 4, ntyp = 3
/
ATOMIC_SPECIES
Hf 178.49 Hf.upf
Zr 91.22 Zr.upf
Ir 192.22 Ir.upf
CELL_PARAMETERS angstrom
0.000 3.364 3.364
3.364 0.000 3.364
3.364 3.364 0.000
ATOMIC_POSITIONS angstrom
Hf 1.682 1.682 1.682
Hf 5.046 5.046 5.046
Zr 0.000 0.000 0.000
Ir 3.364 3.364 3.364
! - Energy above the most stable polymorph in this dataset: 137 meV per atom
! - Formation energy from the elements: -367 meV per atom
! - Theoretical density: 13.96 g/cm³
! - Space-group type: Fm-3m, No. 225
! - Volume: 76.2 Å³ per cell

***

Entry 6:
! Hf2ZrIr (GGA-PBE, optimized geometry); values from VASP
&SYSTEM
  ibrav = 0, nat = 4, ntyp = 3
/
ATOMIC_SPECIES
Hf 178.49 Hf.upf
Zr 91.22 Zr.upf
Ir 192.22 Ir.upf
CELL_PARAMETERS angstrom
4.768 0.000 0.000
0.000 4.768 0.000
0.000 0.000 3.406
ATOMIC_POSITIONS angstrom
Hf 0.000 2.384 0.000
Hf 2.384 0.000 0.000
Zr 0.000 0.000 1.703
Ir 2.384 2.384 1.703
! - Energy above the most stable polymorph in this dataset: 129 meV per atom
! - Formation energy from the elements: -375 meV per atom
! - Theoretical density: 13.73 g/cm³
! - Space-group type: P4/mmm, No. 123
! - Volume: 77.4 Å³ per cell

***

Entry 7:
! Hf2ZrIr (GGA-PBE, optimized geometry); values from VASP
&SYSTEM
  ibrav = 0, nat = 8, ntyp = 3
/
ATOMIC_SPECIES
Hf 178.49 Hf.upf
Zr 91.22 Zr.upf
Ir 192.22 Ir.upf
CELL_PARAMETERS angstrom
-3.895 3.895 2.897
3.895 -3.895 2.897
3.895 3.895 -2.897
ATOMIC_POSITIONS angstrom
Hf 5.843 1.549 -0.724
Hf 1.549 1.948 0.724
Hf -1.948 2.347 2.173
Hf 2.347 1.948 3.621
Zr 3.895 0.000 1.449
Zr 0.000 0.000 2.897
Ir 0.000 0.000 0.000
Ir 0.000 3.895 1.449
! - Energy above the most stable polymorph in this dataset: 355 meV per atom
! - Formation energy from the elements: -149 meV per atom
! - Theoretical density: 12.10 g/cm³
! - Space-group type: I-42d, No. 122
! - Volume: 175.8 Å³ per cell

***

Entry 8:
! HfZr3Ir (GGA-PBE, optimized geometry); values from VASP
&SYSTEM
  ibrav = 0, nat = 10, ntyp = 3
/
ATOMIC_SPECIES
Hf 178.49 Hf.upf
Zr 91.22 Zr.upf
Ir 192.22 Ir.upf
CELL_PARAMETERS angstrom
6.916 0.000 0.000
-3.458 5.990 0.000
0.000 0.000 5.644
ATOMIC_POSITIONS angstrom
Hf 0.000 3.993 1.411
Hf 3.458 1.997 4.233
Zr 0.000 2.244 4.233
Zr -1.515 4.868 4.233
Zr 1.944 1.122 1.411
Zr 1.515 4.868 4.233
Zr 4.973 1.122 1.411
Zr 3.458 3.745 1.411
Ir 0.000 0.000 0.000
Ir 0.000 0.000 2.822
! - Energy above the most stable polymorph in this dataset: 0 meV per atom
! - Formation energy from the elements: 35 meV per atom
! - Theoretical density: 9.15 g/cm³
! - Space-group type: P6_3/mmc, No. 194
! - Volume: 233.8 Å³ per cell